Compound: Zn2CrIn
Source: the Alexandria database
Functional: PBE
Structure: optimized geometry

- ΔE_f: 245 meV per atom

Cell and atoms, written as POSCAR:
```
Zn2CrIn
1.0
3.121 0.000 0.000
0.000 4.555 0.000
0.000 0.000 9.607
Zn Cr In
4 2 2
Direct
0.000 0.000 0.225 Zn
0.000 0.000 0.775 Zn
0.500 0.500 0.275 Zn
0.500 0.500 0.725 Zn
0.000 0.500 0.500 Cr
0.500 0.000 0.000 Cr
0.000 0.500 0.000 In
0.500 0.000 0.500 In
```



Compound: Rb3In2Sb4Pb2
Source: the Alexandria database
Functional: PBE
Structure: optimized geometry

- ΔE_f (raw): -2.18 eV per formula unit

Cell and atoms, written as POSCAR:
```
Rb3In2Sb4Pb2
1.0
5.248 0.000 0.000
-2.624 4.545 0.000
0.000 0.000 19.181
Rb In Sb Pb
3 2 4 2
Direct
0.000 0.000 0.000 Rb
0.000 0.000 0.279 Rb
0.000 0.000 0.721 Rb
0.333 0.667 0.144 In
0.667 0.333 0.856 In
0.333 0.667 0.398 Sb
0.333 0.667 0.861 Sb
0.667 0.333 0.139 Sb
0.667 0.333 0.602 Sb
0.333 0.667 0.559 Pb
0.667 0.333 0.441 Pb
```



Compound: Ac6PrIr2
Source: the Alexandria database
Functional: PBE
Structure: optimized geometry

- ΔE_f: -189 meV per atom

Cell and atoms, written as POSCAR:
```
Ac6PrIr2
1.0
3.869 2.234 7.025
-3.869 2.234 7.025
0.000 -4.467 7.025
Ac Pr Ir
6 1 2
Direct
0.000 0.444 0.556 Ac
0.168 0.825 0.510 Ac
0.444 0.556 0.000 Ac
0.510 0.168 0.825 Ac
0.556 0.000 0.444 Ac
0.825 0.510 0.168 Ac
0.028 0.028 0.028 Pr
0.425 0.425 0.425 Ir
0.575 0.575 0.575 Ir
```



Compound: ZrGa2Ag
Source: the Alexandria database
Functional: PBE
Structure: optimized geometry

- Relative energy among the computed polymorphs: 16.5 kJ per mole of atoms
- ΔE_f: -216 meV per atom

Cell and atoms, written as POSCAR:
```
ZrGa2Ag
1.0
4.279 0.000 0.000
-2.139 3.706 0.000
0.000 0.000 14.060
Zr Ga Ag
3 6 3
Direct
0.000 0.000 0.000 Zr
0.333 0.667 0.667 Zr
0.667 0.333 0.333 Zr
0.000 0.000 0.230 Ga
0.000 0.000 0.770 Ga
0.333 0.667 0.437 Ga
0.333 0.667 0.896 Ga
0.667 0.333 0.104 Ga
0.667 0.333 0.563 Ga
0.000 0.000 0.500 Ag
0.333 0.667 0.167 Ag
0.667 0.333 0.833 Ag
```



Compound: Ca2PmSm2
Source: the Alexandria database
Functional: PBE
Structure: optimized geometry

- Relative energy among the computed polymorphs: 0.0 kJ per mole of atoms
- ΔE_f: 44 meV per atom

Cell and atoms, written as POSCAR:
```
Ca2PmSm2
1.0
6.413 0.000 0.000
0.000 3.701 0.000
-2.159 0.000 15.483
Ca Pm Sm
4 2 4
Direct
0.201 0.000 0.107 Ca
0.299 0.500 0.893 Ca
0.701 0.500 0.107 Ca
0.799 0.000 0.893 Ca
0.000 0.000 0.500 Pm
0.500 0.500 0.500 Pm
0.104 0.500 0.313 Sm
0.396 0.000 0.687 Sm
0.604 0.000 0.313 Sm
0.896 0.500 0.687 Sm
```



Compound: Tl2InBiPb
Source: the Alexandria database
Functional: PBE
Structure: optimized geometry

- Relative energy among the computed polymorphs: 41.4 kJ per mole of atoms
- ΔE_f: 534 meV per atom

Cell and atoms, written as POSCAR:
```
Tl2InBiPb
1.0
6.163 0.000 0.000
0.000 6.163 0.000
0.000 0.000 5.668
Tl In Bi Pb
2 1 1 1
Direct
0.000 0.500 0.000 Tl
0.500 0.000 0.000 Tl
0.000 0.000 0.500 In
0.000 0.000 0.000 Bi
0.500 0.500 0.500 Pb
```



Compound: Rb3Er2ZrTe6
Source: the Alexandria database
Functional: PBE
Structure: optimized geometry

- ΔE_f (raw): -14.45 eV per formula unit

Cell and atoms, written as POSCAR:
```
Rb3Er2ZrTe6
1.0
3.824 -6.625 0.000
3.824 6.625 0.000
-2.552 0.000 8.572
Rb Er Zr Te
3 2 1 6
Direct
0.000 0.000 0.000 Rb
0.330 0.670 0.000 Rb
0.670 0.330 0.000 Rb
0.166 0.834 0.500 Er
0.834 0.166 0.500 Er
0.500 0.500 0.500 Zr
0.110 0.435 0.304 Te
0.242 0.242 0.698 Te
0.435 0.110 0.304 Te
0.565 0.890 0.696 Te
0.758 0.758 0.302 Te
0.890 0.565 0.696 Te
```



Compound: CrFe3
Source: the Alexandria database
Functional: PBE
Structure: optimized geometry

- ΔE_f: 115 meV per atom

Cell and atoms, written as POSCAR:
```
CrFe3
1.0
4.286 0.000 0.000
0.000 7.967 0.000
0.000 0.000 4.958
Cr Fe
4 12
Direct
0.086 0.250 0.117 Cr
0.414 0.750 0.617 Cr
0.586 0.250 0.383 Cr
0.914 0.750 0.883 Cr
0.087 0.250 0.619 Fe
0.242 0.504 0.372 Fe
0.242 0.996 0.372 Fe
0.258 0.004 0.872 Fe
0.258 0.496 0.872 Fe
0.413 0.750 0.119 Fe
0.587 0.250 0.881 Fe
0.742 0.504 0.128 Fe
0.742 0.996 0.128 Fe
0.758 0.004 0.628 Fe
0.758 0.496 0.628 Fe
0.913 0.750 0.381 Fe
```



Compound: Pm6HgRh3
Source: the Alexandria database
Functional: PBE
Structure: optimized geometry

- Relative energy among the computed polymorphs: 0.0 kJ per mole of atoms
- ΔE_f: -543 meV per atom

Cell and atoms, written as POSCAR:
```
Pm6HgRh3
1.0
12.035 0.000 0.000
0.000 4.166 0.000
-3.846 0.000 11.409
Pm Hg Rh
12 2 6
Direct
0.040 0.250 0.358 Pm
0.106 0.750 0.968 Pm
0.236 0.250 0.791 Pm
0.269 0.750 0.279 Pm
0.402 0.250 0.564 Pm
0.452 0.250 0.111 Pm
0.548 0.750 0.889 Pm
0.598 0.750 0.436 Pm
0.731 0.250 0.721 Pm
0.764 0.750 0.209 Pm
0.894 0.250 0.032 Pm
0.960 0.750 0.642 Pm
0.194 0.750 0.557 Hg
0.806 0.250 0.443 Hg
0.007 0.750 0.187 Rh
0.335 0.750 0.955 Rh
0.431 0.250 0.342 Rh
0.569 0.750 0.658 Rh
0.665 0.250 0.045 Rh
0.993 0.250 0.813 Rh
```



Compound: Zr4Ta
Source: the Alexandria database
Functional: PBE
Structure: optimized geometry

- Relative energy among the computed polymorphs: 47.4 kJ per mole of atoms
- ΔE_f: 626 meV per atom

Cell and atoms, written as POSCAR:
```
Zr4Ta
1.0
4.043 0.000 0.000
0.000 4.043 0.000
0.000 0.000 14.274
Zr Ta
8 2
Direct
0.000 0.000 0.090 Zr
0.000 0.000 0.910 Zr
0.000 0.500 0.250 Zr
0.000 0.500 0.750 Zr
0.500 0.000 0.250 Zr
0.500 0.000 0.750 Zr
0.500 0.500 0.410 Zr
0.500 0.500 0.590 Zr
0.000 0.000 0.500 Ta
0.500 0.500 0.000 Ta
```



Compound: In6CuAu12
Source: the Alexandria database
Functional: PBE
Structure: optimized geometry

- Relative energy among the computed polymorphs: 2.7 kJ per mole of atoms
- ΔE_f: -79 meV per atom

Cell and atoms, written as POSCAR:
```
In6CuAu12
1.0
5.166 2.983 4.447
-5.166 2.983 4.447
0.000 -5.965 4.447
In Cu Au
6 1 12
Direct
0.196 0.630 0.236 In
0.236 0.196 0.630 In
0.370 0.764 0.804 In
0.630 0.236 0.196 In
0.764 0.804 0.370 In
0.804 0.370 0.764 In
0.000 0.000 0.000 Cu
0.043 0.068 0.332 Au
0.068 0.332 0.043 Au
0.129 0.568 0.614 Au
0.332 0.043 0.068 Au
0.386 0.871 0.432 Au
0.432 0.386 0.871 Au
0.568 0.614 0.129 Au
0.614 0.129 0.568 Au
0.668 0.957 0.932 Au
0.871 0.432 0.386 Au
0.932 0.668 0.957 Au
0.957 0.932 0.668 Au
```



Compound: Li2ZnCl
Source: the Alexandria database
Functional: PBE
Structure: optimized geometry

- Relative energy among the computed polymorphs: 57.2 kJ per mole of atoms
- ΔE_f (raw): -0.72 eV per formula unit

Cell and atoms, written as POSCAR:
```
Li2ZnCl
1.0
7.029 0.000 0.000
0.000 7.029 0.000
0.000 0.000 7.029
Li Zn Cl
8 4 4
Direct
0.000 0.000 0.000 Li
0.000 0.500 0.500 Li
0.250 0.250 0.250 Li
0.250 0.750 0.750 Li
0.500 0.000 0.500 Li
0.500 0.500 0.000 Li
0.750 0.250 0.750 Li
0.750 0.750 0.250 Li
0.000 0.000 0.500 Zn
0.000 0.500 0.000 Zn
0.500 0.000 0.000 Zn
0.500 0.500 0.500 Zn
0.250 0.250 0.750 Cl
0.250 0.750 0.250 Cl
0.750 0.250 0.250 Cl
0.750 0.750 0.750 Cl
```



Compound: GeTeO2
Source: the Alexandria database
Functional: PBE
Structure: optimized geometry

- Relative energy among the computed polymorphs: 0.0 kJ per mole of atoms
- ΔE_f (raw): -3.76 eV per formula unit

Cell and atoms, written as POSCAR:
```
GeTeO2
1.0
2.982 0.000 0.000
-1.491 2.583 0.000
0.000 0.000 26.479
Ge Te O
3 3 6
Direct
0.000 0.000 0.000 Ge
0.333 0.667 0.667 Ge
0.667 0.333 0.333 Ge
0.000 0.000 0.500 Te
0.333 0.667 0.167 Te
0.667 0.333 0.833 Te
0.000 0.000 0.369 O
0.000 0.000 0.631 O
0.333 0.667 0.036 O
0.333 0.667 0.298 O
0.667 0.333 0.702 O
0.667 0.333 0.964 O
```



Compound: LiNiIr2
Source: the Alexandria database
Functional: PBE
Structure: optimized geometry

- Relative energy among the computed polymorphs: 16.1 kJ per mole of atoms
- ΔE_f: 91 meV per atom

Cell and atoms, written as POSCAR:
```
LiNiIr2
1.0
5.843 0.000 0.000
0.000 5.843 0.000
0.000 0.000 5.843
Li Ni Ir
4 4 8
Direct
0.000 0.000 0.000 Li
0.000 0.500 0.500 Li
0.500 0.000 0.500 Li
0.500 0.500 0.000 Li
0.000 0.000 0.500 Ni
0.000 0.500 0.000 Ni
0.500 0.000 0.000 Ni
0.500 0.500 0.500 Ni
0.250 0.250 0.250 Ir
0.250 0.250 0.750 Ir
0.250 0.750 0.250 Ir
0.250 0.750 0.750 Ir
0.750 0.250 0.250 Ir
0.750 0.250 0.750 Ir
0.750 0.750 0.250 Ir
0.750 0.750 0.750 Ir
```



Compound: ThCuPd
Source: the Alexandria database
Functional: PBE
Structure: optimized geometry

- Relative energy among the computed polymorphs: 0.6 kJ per mole of atoms
- ΔE_f: -519 meV per atom

Cell and atoms, written as POSCAR:
```
ThCuPd
1.0
4.457 0.000 0.000
-2.229 3.860 0.000
0.000 0.000 3.607
Th Cu Pd
1 1 1
Direct
0.000 0.000 0.000 Th
0.667 0.333 0.500 Cu
0.333 0.667 0.500 Pd
```



Compound: Rb2TiBiOs
Source: the Alexandria database
Functional: PBE
Structure: optimized geometry

- ΔE_f: 1116 meV per atom

Cell and atoms, written as POSCAR:
```
Rb2TiBiOs
1.0
6.870 0.000 0.000
0.000 6.870 0.000
0.000 0.000 4.410
Rb Ti Bi Os
2 1 1 1
Direct
0.000 0.500 0.000 Rb
0.500 0.000 0.000 Rb
0.000 0.000 0.000 Ti
0.500 0.500 0.500 Bi
0.000 0.000 0.500 Os
```



Compound: Pr2CuPd6
Source: the Alexandria database
Functional: PBE
Structure: optimized geometry

- Relative energy among the computed polymorphs: 0.7 kJ per mole of atoms
- ΔE_f: -608 meV per atom

Cell and atoms, written as POSCAR:
```
Pr2CuPd6
1.0
4.935 -2.904 0.000
4.935 2.904 0.000
-1.469 0.000 5.968
Pr Cu Pd
2 1 6
Direct
0.145 0.145 0.335 Pr
0.855 0.855 0.665 Pr
0.500 0.500 0.500 Cu
0.112 0.631 0.180 Pd
0.369 0.888 0.820 Pd
0.373 0.373 0.807 Pd
0.627 0.627 0.193 Pd
0.631 0.112 0.180 Pd
0.888 0.369 0.820 Pd
```



Compound: MoIr2Se
Source: the Alexandria database
Functional: PBE
Structure: optimized geometry

- ΔE_f (raw): 0.93 eV per formula unit

Cell and atoms, written as POSCAR:
```
MoIr2Se
1.0
2.890 0.000 0.000
-1.445 2.503 0.000
0.000 0.000 25.545
Mo Ir Se
3 6 3
Direct
0.000 0.000 0.000 Mo
0.333 0.667 0.667 Mo
0.667 0.333 0.333 Mo
0.000 0.000 0.504 Ir
0.000 0.000 0.750 Ir
0.333 0.667 0.171 Ir
0.333 0.667 0.417 Ir
0.667 0.333 0.083 Ir
0.667 0.333 0.837 Ir
0.000 0.000 0.254 Se
0.333 0.667 0.920 Se
0.667 0.333 0.587 Se
```



Compound: LaTa3Pd
Source: the Alexandria database
Functional: PBE
Structure: optimized geometry

- Relative energy among the computed polymorphs: 107.2 kJ per mole of atoms
- ΔE_f: 2192 meV per atom

Cell and atoms, written as POSCAR:
```
LaTa3Pd
1.0
4.846 0.000 0.000
0.000 4.846 0.000
0.000 0.000 4.846
La Ta Pd
1 3 1
Direct
0.000 0.000 0.000 La
0.000 0.000 0.500 Ta
0.000 0.500 0.000 Ta
0.500 0.000 0.000 Ta
0.500 0.500 0.500 Pd
```



Compound: Ta2CoNi
Source: the Alexandria database
Functional: PBE
Structure: optimized geometry

- Relative energy among the computed polymorphs: 13.6 kJ per mole of atoms
- ΔE_f: -45 meV per atom

Cell and atoms, written as POSCAR:
```
Ta2CoNi
1.0
3.703 0.000 0.000
0.000 3.703 0.000
0.000 0.000 8.429
Ta Co Ni
4 2 2
Direct
0.000 0.000 0.000 Ta
0.000 0.500 0.250 Ta
0.500 0.000 0.750 Ta
0.500 0.500 0.500 Ta
0.000 0.500 0.750 Co
0.500 0.000 0.250 Co
0.000 0.000 0.500 Ni
0.500 0.500 0.000 Ni
```